Record 1
{"formula": "MnBeOs2", "functional": "PBE", "state": "optimized geometry", "crystal_system": "trigonal", "space_group": "R3m (160)", "lattice_angstrom": [[-0.770, -1.882, 1.754], [-0.382, -2.528, -0.823], [7.189, -3.119, 1.864]], "species": ["Mn", "Be", "Os", "Os"], "frac_coords": [[0.500, 0.500, 0.499], [0.667, 0.667, 0.999], [0.082, 0.082, 0.755], [0.251, 0.251, 0.246]]}

***

Record 2
{"formula": "Mn2BeOs", "functional": "PBE", "state": "optimized geometry", "crystal_system": "orthorhombic", "space_group": "Pmmm (47)", "lattice_angstrom": [[-0.295, -2.883, 0.813], [3.430, -0.782, -1.528], [1.746, 0.809, 3.506]], "species": ["Be", "Mn", "Mn", "Os"], "frac_coords": [[0.000, 0.500, 0.500], [0.000, 0.000, 0.000], [0.500, 0.500, 0.000], [0.500, 0.000, 0.500]]}

***

Record 3
{"formula": "MnBeOs2", "functional": "PBE", "state": "optimized geometry", "crystal_system": "orthorhombic", "space_group": "Pmm2 (25)", "lattice_angstrom": [[-0.741, -1.811, 1.853], [-0.090, -2.652, -2.627], [4.814, -1.053, 0.897]], "species": ["Be", "Mn", "Os", "Os"], "frac_coords": [[0.000, 0.000, 0.505], [0.500, 0.500, 0.733], [0.000, 0.000, 0.000], [0.500, 0.500, 0.262]]}

***

Record 4
{"formula": "Mn2BeOs", "functional": "PBE", "state": "optimized geometry", "crystal_system": "orthorhombic", "space_group": "Cmm2 (35)", "lattice_angstrom": [[-0.933, 2.199, -0.966], [-1.766, -1.281, 1.372], [2.243, 3.766, 6.402]], "species": ["Be", "Mn", "Mn", "Os"], "frac_coords": [[0.500, 0.500, 0.757], [0.000, 0.000, 0.989], [0.500, 0.500, 0.239], [0.000, 0.000, 0.516]]}

***

Record 5
{"formula": "MnBeOs2", "functional": "PBE", "state": "optimized geometry", "crystal_system": "orthorhombic", "space_group": "Pmmm (47)", "lattice_angstrom": [[-0.154, 2.437, -1.502], [-4.238, 0.409, 1.098], [1.046, 2.077, 3.264]], "species": ["Be", "Mn", "Os", "Os"], "frac_coords": [[0.500, 0.000, 0.500], [0.000, 0.500, 0.500], [0.000, 0.000, 0.000], [0.500, 0.500, 0.000]]}

***

Record 6
{"formula": "Mn2BeOs", "functional": "PBE", "state": "optimized geometry", "crystal_system": "orthorhombic", "space_group": "Cmmm (65)", "lattice_angstrom": [[4.362, 0.022, 0.000], [-1.495, 4.098, 0.000], [0.000, 0.000, 2.672]], "species": ["Be", "Mn", "Mn", "Os"], "frac_coords": [[0.000, 0.500, 0.500], [0.000, 0.000, 0.000], [0.500, 0.500, 0.000], [0.500, 0.000, 0.500]]}

***

Record 7
{"formula": "Mn2BeOs", "functional": "PBE", "state": "optimized geometry", "crystal_system": "monoclinic", "space_group": "P2/m (10)", "lattice_angstrom": [[3.698, 0.000, 0.000], [0.000, 2.597, 0.006], [0.000, 2.578, 4.687]], "species": ["Be", "Mn", "Mn", "Os"], "frac_coords": [[0.500, 0.750, 0.750], [0.000, 0.031, 0.970], [0.000, 0.469, 0.530], [0.500, 0.250, 0.250]]}

***

Record 8
{"formula": "Mn2BeOs", "functional": "PBE", "state": "optimized geometry", "crystal_system": "cubic", "space_group": "F-43m (216)", "lattice_angstrom": [[-0.268, 3.012, -2.676], [-3.530, 1.872, -0.587], [-0.509, 3.797, 1.278]], "species": ["Be", "Mn", "Mn", "Os"], "frac_coords": [[0.500, 0.500, 0.500], [0.000, 0.000, 0.000], [0.250, 0.250, 0.250], [0.750, 0.750, 0.750]]}

***

Record 9
{"formula": "MnBe3Os", "functional": "PBE", "state": "optimized geometry", "relative_energy_ev_per_atom": 0.383, "crystal_system": "cubic", "space_group": "Pm-3m (221)", "lattice_angstrom": [[-2.546, -2.478, 1.334], [2.589, -1.358, 2.419], [-1.103, 2.533, 2.602]], "species": ["Be", "Be", "Be", "Mn", "Os"], "frac_coords": [[0.000, 0.500, 0.000], [0.000, 0.000, 0.500], [0.500, 0.000, 0.000], [0.000, 0.000, 0.000], [0.500, 0.500, 0.500]]}

***

Record 10
{"formula": "MnBeOs", "functional": "PBE", "state": "optimized geometry", "relative_energy_ev_per_atom": 0.000, "crystal_system": "tetragonal", "space_group": "I4mm (107)", "lattice_angstrom": [[-0.324, -3.619, 2.943], [3.040, -1.582, 3.182], [-2.166, 3.777, -1.705]], "species": ["Be", "Mn", "Os"], "frac_coords": [[0.993, 0.993, 0.000], [0.342, 0.342, 0.000], [0.665, 0.665, 0.000]]}

***

Record 11
{"formula": "MnBe2Os2", "functional": "PBE", "state": "optimized geometry", "relative_energy_ev_per_atom": 0.403, "crystal_system": "tetragonal", "space_group": "P4/mbm (127)", "lattice_angstrom": [[6.422, 0.000, 0.000], [0.000, 6.422, 0.000], [0.000, 0.000, 2.866]], "species": ["Be", "Be", "Be", "Be", "Mn", "Mn", "Os", "Os", "Os", "Os"], "frac_coords": [[0.155, 0.655, 0.500], [0.655, 0.845, 0.500], [0.845, 0.345, 0.500], [0.345, 0.155, 0.500], [0.000, 0.000, 0.000], [0.500, 0.500, 0.000], [0.357, 0.857, 0.000], [0.857, 0.643, 0.000], [0.643, 0.143, 0.000], [0.143, 0.357, 0.000]]}

***

Record 12
{"formula": "MnBeOs2", "functional": "PBE", "state": "optimized geometry", "crystal_system": "trigonal", "space_group": "R-3m (166)", "lattice_angstrom": [[8.161, 0.002, 0.001], [7.723, 2.639, 0.001], [7.723, 1.284, 2.305]], "species": ["Be", "Mn", "Os", "Os"], "frac_coords": [[0.250, 0.250, 0.250], [0.750, 0.750, 0.750], [0.998, 0.998, 0.998], [0.502, 0.502, 0.502]]}

***

Record 13
{"formula": "Mn2BeOs", "functional": "PBE", "state": "optimized geometry", "crystal_system": "orthorhombic", "space_group": "Imm2 (44)", "lattice_angstrom": [[-2.995, 1.197, -3.230], [-0.896, -0.688, -4.423], [-2.901, -2.695, -0.846]], "species": ["Be", "Mn", "Mn", "Os"], "frac_coords": [[0.254, 0.254, 0.246], [0.994, 0.994, 0.006], [0.744, 0.744, 0.756], [0.507, 0.507, 0.492]]}

***

Record 14
{"formula": "Mn2Be2Os", "functional": "PBE", "state": "optimized geometry", "crystal_system": "tetragonal", "space_group": "P4/mbm (127)", "lattice_angstrom": [[-4.129, -4.057, 2.025], [4.511, -3.953, 1.278], [0.210, 1.071, 2.572]], "species": ["Be", "Be", "Be", "Be", "Mn", "Mn", "Mn", "Mn", "Os", "Os"], "frac_coords": [[0.376, 0.876, 0.000], [0.876, 0.624, 0.000], [0.624, 0.124, 0.000], [0.124, 0.376, 0.000], [0.171, 0.671, 0.500], [0.671, 0.829, 0.500], [0.829, 0.329, 0.500], [0.329, 0.171, 0.500], [0.000, 0.000, 0.000], [0.500, 0.500, 0.000]]}

***

Record 15
{"formula": "MnBeOs2", "functional": "PBE", "state": "optimized geometry", "crystal_system": "tetragonal", "space_group": "I-42d (122)", "lattice_angstrom": [[6.946, 0.000, 0.000], [0.000, 6.946, 0.000], [3.473, 3.473, 2.277]], "species": ["Be", "Be", "Mn", "Mn", "Os", "Os", "Os", "Os"], "frac_coords": [[0.500, 0.500, 0.000], [0.250, 0.750, 0.500], [0.000, 0.000, 0.000], [0.750, 0.250, 0.500], [0.547, 0.125, 0.250], [0.203, 0.625, 0.250], [0.375, 0.453, 0.750], [0.875, 0.797, 0.750]]}

***

Record 16
{"formula": "Mn2BeOs", "functional": "PBE", "state": "optimized geometry", "crystal_system": "tetragonal", "space_group": "P4/mmm (123)", "lattice_angstrom": [[-0.883, 2.577, -0.153], [-2.546, -0.842, 0.505], [0.947, 0.674, 5.892]], "species": ["Be", "Mn", "Mn", "Os"], "frac_coords": [[0.500, 0.500, 0.750], [0.000, 0.000, 0.966], [0.000, 0.000, 0.534], [0.500, 0.500, 0.250]]}

***

Record 17
{"formula": "Mn2BeOs", "functional": "PBE", "state": "optimized geometry", "crystal_system": "tetragonal", "space_group": "I-42d (122)", "lattice_angstrom": [[6.468, 0.000, 0.000], [0.000, 6.468, 0.000], [3.234, 3.234, 2.206]], "species": ["Be", "Be", "Mn", "Mn", "Mn", "Mn", "Os", "Os"], "frac_coords": [[0.500, 0.500, 0.000], [0.250, 0.750, 0.500], [0.555, 0.125, 0.250], [0.195, 0.625, 0.250], [0.375, 0.445, 0.750], [0.875, 0.805, 0.750], [0.000, 0.000, 0.000], [0.750, 0.250, 0.500]]}

***

Record 18
{"formula": "Mn2BeOs", "functional": "PBE", "state": "optimized geometry", "crystal_system": "orthorhombic", "space_group": "Immm (71)", "lattice_angstrom": [[-0.299, 3.076, 3.532], [-3.615, -0.276, 2.980], [3.641, -2.311, -1.852]], "species": ["Be", "Mn", "Mn", "Os"], "frac_coords": [[0.250, 0.750, 0.500], [0.009, 0.009, 0.000], [0.491, 0.491, 0.000], [0.750, 0.250, 0.500]]}

***

Record 19
{"formula": "Mn2BeOs", "functional": "PBE", "state": "optimized geometry", "crystal_system": "tetragonal", "space_group": "P4/mmm (123)", "lattice_angstrom": [[-3.894, -0.998, -0.211], [0.168, -1.448, 3.753], [-0.710, 2.554, 1.017]], "species": ["Be", "Mn", "Mn", "Os"], "frac_coords": [[0.000, 0.500, 0.500], [0.000, 0.000, 0.000], [0.500, 0.500, 0.000], [0.500, 0.000, 0.500]]}

***

Record 20
{"formula": "MnBeOs2", "functional": "PBE", "state": "optimized geometry", "crystal_system": "monoclinic", "space_group": "P2/m (10)", "lattice_angstrom": [[-1.217, 1.219, -3.282], [-0.240, -2.515, -0.846], [-4.890, -1.590, 1.222]], "species": ["Be", "Mn", "Os", "Os"], "frac_coords": [[0.500, 0.250, 0.250], [0.500, 0.750, 0.750], [0.000, 0.104, 0.018], [0.000, 0.396, 0.482]]}

***

Record 21
{"formula": "MnBeOs2", "functional": "PBE", "state": "optimized geometry", "crystal_system": "tetragonal", "space_group": "P4/mmm (123)", "lattice_angstrom": [[-1.434, 1.799, 1.663], [-2.272, -0.256, -1.683], [-1.919, -4.568, 3.285]], "species": ["Be", "Mn", "Os", "Os"], "frac_coords": [[0.500, 0.500, 0.250], [0.500, 0.500, 0.750], [0.000, 0.000, 0.018], [0.000, 0.000, 0.482]]}

***

Record 22
{"formula": "Mn4BeOs", "functional": "PBE", "state": "optimized geometry", "crystal_system": "cubic", "space_group": "F-43m (216)", "lattice_angstrom": [[0.000, 3.244, 3.244], [3.244, 0.000, 3.244], [3.244, 3.244, 0.000]], "species": ["Mn", "Mn", "Mn", "Mn", "Be", "Os"], "frac_coords": [[0.627, 0.627, 0.119], [0.627, 0.119, 0.627], [0.627, 0.627, 0.627], [0.119, 0.627, 0.627], [0.000, 0.000, 0.000], [0.250, 0.250, 0.250]]}

***

Record 23
{"formula": "MnBe3Os", "functional": "PBE", "state": "optimized geometry", "relative_energy_ev_per_atom": 0.000, "crystal_system": "cubic", "space_group": "Pm-3m (221)", "lattice_angstrom": [[-3.915, 1.415, -0.330], [-0.741, -2.759, -3.045], [-1.250, -2.797, 2.838]], "species": ["Be", "Be", "Be", "Mn", "Os"], "frac_coords": [[0.000, 0.500, 0.000], [0.000, 0.000, 0.500], [0.500, 0.000, 0.000], [0.500, 0.500, 0.500], [0.000, 0.000, 0.000]]}

***

Record 24
{"formula": "MnBeOs2", "functional": "PBE", "state": "optimized geometry", "crystal_system": "tetragonal", "space_group": "I-4m2 (119)", "lattice_angstrom": [[-1.199, -2.090, -4.018], [0.843, -4.605, -0.181], [-2.113, 2.892, 3.020]], "species": ["Be", "Mn", "Os", "Os"], "frac_coords": [[0.500, 0.500, 0.000], [0.750, 0.250, 0.500], [0.000, 0.000, 0.000], [0.250, 0.750, 0.500]]}

***

Record 25
{"formula": "Mn2BeOs", "functional": "PBE", "state": "optimized geometry", "crystal_system": "trigonal", "space_group": "R-3m (166)", "lattice_angstrom": [[-0.852, 8.059, -0.387], [-2.335, 7.385, -2.417], [-3.341, 7.394, -0.016]], "species": ["Be", "Mn", "Mn", "Os"], "frac_coords": [[0.750, 0.750, 0.750], [0.005, 0.005, 0.005], [0.495, 0.495, 0.495], [0.250, 0.250, 0.250]]}

***

Record 26
{"formula": "MnBeOs2", "functional": "PBE", "state": "optimized geometry", "crystal_system": "orthorhombic", "space_group": "Immm (71)", "lattice_angstrom": [[-3.801, -2.318, 1.762], [-0.284, -4.600, -1.296], [2.601, 3.300, 2.296]], "species": ["Be", "Mn", "Os", "Os"], "frac_coords": [[0.750, 0.250, 0.500], [0.250, 0.750, 0.500], [0.971, 0.971, 0.000], [0.529, 0.529, 0.000]]}

***

Record 27
{"formula": "MnBeOs", "functional": "PBE", "state": "optimized geometry", "relative_energy_ev_per_atom": 0.179, "crystal_system": "trigonal", "space_group": "P3m1 (156)", "lattice_angstrom": [[3.858, 0.000, 0.000], [-1.929, 3.341, 0.000], [0.000, 0.000, 2.614]], "species": ["Be", "Mn", "Os"], "frac_coords": [[0.000, 0.000, 0.085], [0.333, 0.667, 0.247], [0.667, 0.333, 0.668]]}

***

Record 28
{"formula": "MnBeOs2", "functional": "PBE", "state": "optimized geometry", "crystal_system": "tetragonal", "space_group": "P4mm (99)", "lattice_angstrom": [[-1.104, 2.293, 1.064], [-0.133, -1.212, 2.474], [5.672, 2.108, 1.338]], "species": ["Be", "Mn", "Os", "Os"], "frac_coords": [[0.000, 0.000, 0.516], [0.500, 0.500, 0.717], [0.000, 0.000, 0.978], [0.500, 0.500, 0.289]]}

***

Record 29
{"formula": "MnBeOs2", "functional": "PBE", "state": "optimized geometry", "crystal_system": "trigonal", "space_group": "R3m (160)", "lattice_angstrom": [[-6.338, 5.071, 1.191], [-7.018, 4.076, -1.198], [-7.660, 2.749, 1.035]], "species": ["Be", "Mn", "Os", "Os"], "frac_coords": [[0.498, 0.498, 0.498], [0.754, 0.754, 0.754], [0.005, 0.005, 0.005], [0.244, 0.244, 0.244]]}

***

no.,formation energy (kJ/mol of formula units)
1,12
2,20
3,21
4,74
5,93
6,21
7,-5
8,-2
9,523
10,-50
11,158
12,29
13,-11
14,-62
15,222
16,-1
17,252
18,-30
19,60
20,36
21,-27
22,95
23,339
24,39
25,69
26,31
27,2
28,0
29,73